Record 1
First-principles (SCAN) data for a crystal of Mn2AlB2 relaxed with PBEsol, as listed in the Alexandria database.

Lattice parameters (Å, degrees): 2.792 5.552 5.552 90.00 90.00 90.00
Fractional positions:
B (0.000, 0.615, 0.115)
Mn (0.500, 0.170, 0.670)
B (0.000, 0.115, 0.385)
B (0.000, 0.385, 0.885)
Al (0.000, 0.000, 0.000)
Al (0.000, 0.500, 0.500)
Mn (0.500, 0.330, 0.170)
Mn (0.500, 0.670, 0.830)
Mn (0.500, 0.830, 0.330)
B (0.000, 0.885, 0.615)

D(E_F) = 3.11 states/eV/cell
ΔH_f (0 K) = -0.458 eV/atom
crystal system = tetragonal
SG = P4/mbm (127)
spin magnetization = 0.98 μB/f.u.

---

Record 2
First-principles (SCAN) data for a crystal of Co3SnB relaxed with PBEsol, as listed in the Alexandria database.

Lattice parameters (Å, degrees): 3.817 3.817 3.817 90.00 90.00 90.00
Fractional positions:
Sn (0.500, 0.500, 0.500)
Co (0.000, 0.500, 0.000)
B (0.000, 0.000, 0.000)
Co (0.500, 0.000, 0.000)
Co (0.000, 0.000, 0.500)

D(E_F) = 1.96 states/eV/cell
ΔH_f (0 K) = 0.027 eV/atom
crystal system = cubic
SG = Pm-3m (221)
spin magnetization = 2.60 μB/f.u.

---

Record 3
First-principles (SCAN) data for a crystal of Ta2CrIr relaxed with PBEsol, as listed in the Alexandria database.

Lattice parameters (Å, degrees): 2.766 4.214 5.279 90.00 100.72 90.00
Fractional positions:
Cr (0.500, 0.500, 0.000)
Ta (0.279, 0.000, 0.241)
Ta (0.721, 0.000, 0.759)
Ir (0.000, 0.500, 0.500)

D(E_F) = 3.22 states/eV/cell
ΔH_f (0 K) = -0.235 eV/atom
crystal system = monoclinic
SG = P2/m (10)
spin magnetization = 0.00 μB/f.u.

---

> D(E_F) of number 1 (Mn2AlB2)?

3.11 states/eV/cell